Record 1
Ba2Ga2SbAs2: optimized geometry, PBE-GGA.

Geometry as extended XYZ:
```
7
Lattice="-1.373 -4.199 -1.700 0.842 -4.724 4.365 -5.760 -0.907 6.910" Properties=species:S:1:pos:R:3 pbc="T T T"
As -3.063 -5.507 2.879
Ga -1.841 -3.937 4.608
Ga -4.450 -5.893 4.967
Ba -4.363 -7.264 8.276
Sb 0.000 0.000 0.000
As -3.229 -4.323 6.696
Ba -1.929 -2.566 1.299
```

Output
Final energy = -27.7 eV/cell
Space-group type = P-1, No. 2
Density = 5249 kg/m3
DOS at the Fermi energy = 1.32 states/eV per cell
Crystal system = triclinic
Magnetization = 0.0 μB/f.u.

Record 2
Ba2Ga2Sb2As: optimized geometry, PBE-GGA.

Geometry as extended XYZ:
```
7
Lattice="-1.894 -2.572 2.795 1.319 -6.315 -1.915 7.684 -2.388 2.875" Properties=species:S:1:pos:R:3 pbc="T T T"
Ga 5.885 -6.881 4.003
As 0.000 0.000 0.000
Ba 5.950 -9.281 1.570
Ba 1.159 -1.993 2.185
Sb 5.060 -5.586 1.283
Ga 1.225 -4.394 -0.248
Sb 2.049 -5.689 2.472
```

Output
Final energy = -26.8 eV/cell
Space-group type = P-1, No. 2
Density = 5593 kg/m3
DOS at the Fermi energy = 1.30 states/eV per cell
Crystal system = triclinic
Magnetization = 0.0 μB/f.u.

Record 3
BaScGaAs2: optimized geometry, PBE-GGA.

Geometry as extended XYZ:
```
10
Lattice="-0.439 3.165 5.016 -6.759 3.140 -2.573 -0.327 -5.328 3.333" Properties=species:S:1:pos:R:3 pbc="T T T"
Sc -0.493 -2.212 5.326
Sc -0.274 0.050 3.023
As -5.278 1.110 0.862
As -1.897 1.184 1.111
Ga -0.164 -2.664 1.666
Ga 0.000 0.000 0.000
Ba -3.804 2.711 3.465
As -5.628 -0.206 4.664
Ba -3.721 -1.733 2.311
As -2.248 -0.132 4.914
```

Output
DFT formation energy = -3.82 eV/f.u.
Final energy = -48.8 eV/cell
Space-group type = P2/c, No. 13
Density = 5110 kg/m3
DOS at the Fermi energy = 6.37 states/eV per cell
Crystal system = monoclinic
Magnetization = 0.0 μB/f.u.

Q: Which of these has the lowest density?
A: BaScGaAs2